No. 1
! Tb5HoHg3 PBE-GGA relaxed; values from VASP
! total magnetic moment: 0.00 μB/cell
! energy of formation from the pure elements: -310 meV per atom
! crystal system: hexagonal
! Fermi-level density of states: 0.525 states/eV per atom
&SYSTEM
  ibrav = 0, nat = 18, ntyp = 3
/
ATOMIC_SPECIES
Tb 158.93 Tb.upf
Ho 164.93 Ho.upf
Hg 200.59 Hg.upf
CELL_PARAMETERS angstrom
-1.575 6.749 0.194
-2.108 -0.237 -8.862
-6.411 -1.676 6.255
ATOMIC_POSITIONS angstrom
Tb -3.542 -0.717 -3.823
Tb -5.764 2.178 1.313
Tb -4.977 -1.196 1.216
Tb -4.330 2.658 -3.726
Tb -6.864 3.786 -1.593
Tb -5.423 4.267 -6.634
Tb -1.883 4.983 -2.804
Tb -3.230 1.051 -0.820
Tb -4.671 0.569 4.221
Tb -1.800 1.529 -5.863
Ho 0.000 0.000 0.000
Ho -0.787 3.375 0.097
Hg -4.020 4.425 -0.723
Hg -7.564 3.708 -4.545
Hg -2.587 4.904 -5.764
Hg -6.074 0.412 -1.690
Hg -2.530 1.129 2.132
Hg -1.096 1.608 -2.904

No. 2
! TbHoHg PBE-GGA relaxed; values from VASP
! total magnetic moment: 0.00 μB/cell
! energy of formation from the pure elements: -110 meV per atom
! crystal system: cubic
! Fermi-level density of states: 1.249 states/eV per atom
&SYSTEM
  ibrav = 0, nat = 3, ntyp = 3
/
ATOMIC_SPECIES
Tb 158.93 Tb.upf
Hg 200.59 Hg.upf
Ho 164.93 Ho.upf
CELL_PARAMETERS angstrom
-5.053 -0.485 -0.450
-2.023 -4.493 -1.303
-2.616 -2.708 3.434
ATOMIC_POSITIONS angstrom
Tb 0.000 0.000 0.000
Hg -2.423 -1.921 0.420
Ho -4.846 -3.843 0.841

No. 3
! Tb5Ho4Hg PBE-GGA relaxed; values from VASP
! total magnetic moment: 0.00 μB/cell
! energy of formation from the pure elements: -79 meV per atom
! crystal system: tetragonal
! Fermi-level density of states: 1.303 states/eV per atom
&SYSTEM
  ibrav = 0, nat = 10, ntyp = 3
/
ATOMIC_SPECIES
Tb 158.93 Tb.upf
Ho 164.93 Ho.upf
Hg 200.59 Hg.upf
CELL_PARAMETERS angstrom
3.561 0.000 0.000
0.000 3.561 0.000
0.000 0.000 24.007
ATOMIC_POSITIONS angstrom
Tb 1.781 1.781 2.035
Tb 1.781 1.781 7.020
Tb 1.781 1.781 12.004
Tb 1.781 1.781 16.987
Tb 1.781 1.781 21.972
Ho 0.000 0.000 4.535
Ho 0.000 0.000 9.517
Ho 0.000 0.000 14.490
Ho 0.000 0.000 19.472
Hg 0.000 0.000 0.000

No. 4
! Tb3Ho2Hg7 PBE-GGA relaxed; values from VASP
! total magnetic moment: 0.00 μB/cell
! energy of formation from the pure elements: -310 meV per atom
! crystal system: orthorhombic
! Fermi-level density of states: 0.633 states/eV per atom
&SYSTEM
  ibrav = 0, nat = 12, ntyp = 3
/
ATOMIC_SPECIES
Tb 158.93 Tb.upf
Ho 164.93 Ho.upf
Hg 200.59 Hg.upf
CELL_PARAMETERS angstrom
-1.200 -2.398 4.744
4.861 0.725 1.596
-5.384 9.788 3.585
ATOMIC_POSITIONS angstrom
Tb 1.830 -0.837 3.170
Tb 0.846 2.548 4.632
Tb -2.569 5.567 5.294
Ho 0.326 7.594 3.921
Ho -0.849 2.918 1.260
Hg -2.508 8.619 3.722
Hg 1.117 4.878 2.748
Hg 0.000 0.000 0.000
Hg 1.985 1.893 1.459
Hg -1.101 0.523 3.116
Hg -0.622 7.591 6.810
Hg -1.640 5.635 2.434

No. 5
! Tb3Ho2Hg6 PBE-GGA relaxed; values from VASP
! total magnetic moment: 0.00 μB/cell
! energy of formation from the pure elements: -104 meV per atom
! crystal system: tetragonal
! Fermi-level density of states: 0.732 states/eV per atom
&SYSTEM
  ibrav = 0, nat = 11, ntyp = 3
/
ATOMIC_SPECIES
Tb 158.93 Tb.upf
Ho 164.93 Ho.upf
Hg 200.59 Hg.upf
CELL_PARAMETERS angstrom
5.090 0.000 0.000
0.000 5.090 0.000
-2.545 -2.545 13.238
ATOMIC_POSITIONS angstrom
Tb 0.000 0.000 0.000
Tb 2.545 2.545 9.524
Tb 0.000 0.000 3.714
Ho 0.000 0.000 9.869
Ho 2.545 2.545 3.369
Hg 0.000 2.545 1.758
Hg 2.545 0.000 1.758
Hg 2.545 0.000 11.480
Hg 0.000 2.545 11.480
Hg 2.545 2.545 6.424
Hg 0.000 0.000 6.814

No. 6
! TbHo6Hg2 PBE-GGA relaxed; values from VASP
! total magnetic moment: 0.00 μB/cell
! energy of formation from the pure elements: -206 meV per atom
! crystal system: monoclinic
! Fermi-level density of states: 1.039 states/eV per atom
&SYSTEM
  ibrav = 0, nat = 9, ntyp = 3
/
ATOMIC_SPECIES
Tb 158.93 Tb.upf
Ho 164.93 Ho.upf
Hg 200.59 Hg.upf
CELL_PARAMETERS angstrom
3.711 0.000 0.000
1.855 6.253 0.430
1.855 1.699 11.294
ATOMIC_POSITIONS angstrom
Tb 0.000 0.000 0.000
Ho 3.711 3.340 1.615
Ho 3.711 4.613 10.109
Ho 3.711 5.941 6.939
Ho 5.566 4.907 4.118
Ho 1.855 3.045 7.606
Ho 3.711 2.012 4.785
Hg 1.855 0.865 2.389
Hg 5.566 7.087 9.335

No. 7
! TbHo4Hg2 PBE-GGA relaxed; values from VASP
! total magnetic moment: 0.00 μB/cell
! energy of formation from the pure elements: 32 meV per atom
! crystal system: trigonal
! Fermi-level density of states: 1.099 states/eV per atom
&SYSTEM
  ibrav = 0, nat = 7, ntyp = 3
/
ATOMIC_SPECIES
Tb 158.93 Tb.upf
Ho 164.93 Ho.upf
Hg 200.59 Hg.upf
CELL_PARAMETERS angstrom
-1.126 -4.900 -0.329
1.735 -2.730 -3.864
8.490 -4.804 3.921
ATOMIC_POSITIONS angstrom
Tb 4.549 -6.217 -0.136
Ho 7.992 -9.644 0.546
Ho 3.254 -8.352 -2.495
Ho 1.107 -2.790 -0.817
Ho 5.844 -4.083 2.223
Hg 2.037 -5.532 -1.748
Hg 7.062 -6.903 1.477

No. 8
! TbHoHg PBE-GGA relaxed; values from VASP
! total magnetic moment: 0.00 μB/cell
! energy of formation from the pure elements: -361 meV per atom
! crystal system: orthorhombic
! Fermi-level density of states: 0.413 states/eV per atom
&SYSTEM
  ibrav = 0, nat = 12, ntyp = 3
/
ATOMIC_SPECIES
Tb 158.93 Tb.upf
Ho 164.93 Ho.upf
Hg 200.59 Hg.upf
CELL_PARAMETERS angstrom
-3.146 1.009 -3.876
1.438 -8.462 -3.369
-5.474 -2.446 3.806
ATOMIC_POSITIONS angstrom
Tb -2.279 -7.758 -1.842
Tb -2.003 -1.875 -3.882
Tb -5.179 -8.023 0.442
Tb -4.903 -2.140 -1.597
Ho -1.949 -7.481 -5.384
Ho -5.190 -5.743 -2.302
Ho -5.233 -2.418 1.945
Ho -1.993 -4.156 -1.137
Hg -2.808 -4.919 -4.021
Hg -5.117 -8.657 -3.119
Hg -2.065 -1.242 -0.320
Hg -4.374 -4.980 0.581

No. 9
! Tb2Ho3Hg2 PBE-GGA relaxed; values from VASP
! total magnetic moment: 0.00 μB/cell
! energy of formation from the pure elements: -189 meV per atom
! crystal system: orthorhombic
! Fermi-level density of states: 1.383 states/eV per atom
&SYSTEM
  ibrav = 0, nat = 7, ntyp = 3
/
ATOMIC_SPECIES
Tb 158.93 Tb.upf
Ho 164.93 Ho.upf
Hg 200.59 Hg.upf
CELL_PARAMETERS angstrom
-2.445 -1.639 -2.015
1.077 -3.151 1.256
-11.753 0.308 10.854
ATOMIC_POSITIONS angstrom
Tb -8.163 -2.545 5.660
Tb -4.958 -1.937 4.435
Ho -5.072 -1.358 0.944
Ho 0.000 0.000 0.000
Ho -8.049 -3.124 9.151
Hg -11.141 -2.226 9.015
Hg -1.980 -2.256 1.080

No. 10
! TbHo4Hg5 PBE-GGA relaxed; values from VASP
! total magnetic moment: 0.06 μB/cell
! energy of formation from the pure elements: -482 meV per atom
! crystal system: tetragonal
! Fermi-level density of states: 0.901 states/eV per atom
&SYSTEM
  ibrav = 0, nat = 10, ntyp = 3
/
ATOMIC_SPECIES
Tb 158.93 Tb.upf
Ho 164.93 Ho.upf
Hg 200.59 Hg.upf
CELL_PARAMETERS angstrom
3.710 0.000 0.000
0.000 3.710 0.000
0.000 0.000 18.596
ATOMIC_POSITIONS angstrom
Tb 0.000 0.000 0.000
Ho 0.000 0.000 3.739
Ho 0.000 0.000 7.446
Ho 0.000 0.000 11.150
Ho 0.000 0.000 14.857
Hg 1.855 1.855 1.899
Hg 1.855 1.855 5.591
Hg 1.855 1.855 9.298
Hg 1.855 1.855 13.005
Hg 1.855 1.855 16.697

No. 11
! Tb5HoHg4 PBE-GGA relaxed; values from VASP
! total magnetic moment: 0.42 μB/cell
! energy of formation from the pure elements: -367 meV per atom
! crystal system: tetragonal
! Fermi-level density of states: 1.198 states/eV per atom
&SYSTEM
  ibrav = 0, nat = 10, ntyp = 3
/
ATOMIC_SPECIES
Tb 158.93 Tb.upf
Ho 164.93 Ho.upf
Hg 200.59 Hg.upf
CELL_PARAMETERS angstrom
3.690 0.000 0.000
0.000 3.690 0.000
0.000 0.000 20.122
ATOMIC_POSITIONS angstrom
Tb 1.845 1.845 2.439
Tb 1.845 1.845 6.264
Tb 1.845 1.845 10.061
Tb 1.845 1.845 13.857
Tb 1.845 1.845 17.682
Ho 0.000 0.000 0.000
Hg 0.000 0.000 4.309
Hg 0.000 0.000 8.154
Hg 0.000 0.000 11.967
Hg 0.000 0.000 15.812